LiV4P3O12, optimized geometry, DFT PBE+U; energy above the most stable polymorph in this dataset = 0.000 eV/atom; space-group type = No. 122; Fermi-level density of states = 0.000 states/eV/f.u.
1.0
-3.408 3.408 9.578
3.408 -3.408 9.578
3.408 3.408 -9.578
Li V P O
2 8 6 24
Cartesian
0.000 0.000 0.000
0.000 3.408 4.789
3.408 0.000 0.436
1.704 -1.679 7.183
0.000 0.000 5.224
1.728 1.704 2.394
3.408 0.000 9.142
1.704 5.087 -2.394
0.000 0.000 13.931
1.679 1.704 11.972
1.704 1.025 -2.394
3.408 0.000 4.789
2.382 -1.704 11.972
0.000 0.000 9.578
1.704 2.382 7.183
1.025 5.111 2.394
3.740 -1.287 3.980
1.826 -0.435 2.027
2.973 1.826 -2.762
3.843 -1.581 7.551
4.989 0.435 2.027
2.120 -0.332 5.597
4.695 0.332 5.597
-0.050 1.925 1.163
3.076 2.120 0.809
3.076 1.287 3.980
-0.050 1.482 3.626
1.287 -0.332 8.769
2.120 3.740 -0.809
1.581 -0.435 12.340
0.435 1.581 6.816
2.973 1.581 7.551
1.826 3.843 2.762
0.332 1.287 10.386
0.050 4.890 1.163
1.925 3.357 5.952
-1.925 3.458 5.952
1.482 3.357 8.415
-1.482 3.458 8.415
0.050 5.333 3.626